{
  "formula": "CaErCdSi",
  "functional": "GGA-PBE",
  "state": "optimized geometry",
  "m_tot_mub_per_cell": 0.00,
  "e_form_raw_ev_per_atom": -0.32,
  "lattice": [[0.000, 3.629, 3.629], [3.629, 0.000, 3.629], [3.629, 3.629, 0.000]],
  "species": ["Ca", "Er", "Cd", "Si"],
  "frac_coords": [[0.000, 0.000, 0.000], [0.500, 0.500, 0.500], [0.750, 0.750, 0.750], [0.250, 0.250, 0.250]]
}